(1)
PBE CsY2PtO, relaxed; space group = P4/mmm, No. 123; uncorrected formation energy = -0.549 eV per atom; E = -27.52 eV/cell; total magnetization = 0.0 Bohr magnetons per cell
1.0
4.626 0.000 0.000
0.000 4.626 0.000
0.000 0.000 6.242
Cs Y Pt O
1 2 1 1
direct
0.000 0.000 0.000
0.000 0.500 0.500
0.500 0.000 0.500
0.500 0.500 0.000
0.500 0.500 0.500

(2)
PBE Cs2YPtO4, relaxed; space group = Fddd, No. 70; uncorrected formation energy = -1.446 eV per atom; E = -91.23 eV/cell; total magnetization = 2.1 Bohr magnetons per cell
1.0
0.000 7.265 12.055
3.079 0.000 12.055
3.079 7.265 0.000
Cs Y Pt O
4 2 2 8
direct
0.059 0.059 0.691
0.309 0.309 0.941
0.691 0.691 0.059
0.941 0.941 0.309
0.125 0.125 0.125
0.875 0.875 0.875
0.375 0.375 0.375
0.625 0.625 0.625
0.042 0.703 0.514
0.241 0.514 0.703
0.297 0.958 0.759
0.486 0.759 0.958
0.514 0.241 0.042
0.703 0.042 0.241
0.759 0.486 0.297
0.958 0.297 0.486

(3)
PBE CsPu2O6, relaxed; space group = Fd-3m, No. 227; uncorrected formation energy = -2.591 eV per atom; E = -165.17 eV/cell; total magnetization = 10.0 Bohr magnetons per cell
1.0
0.000 5.559 5.559
5.559 0.000 5.559
5.559 5.559 0.000
Cs Pu O
2 4 12
direct
0.125 0.125 0.125
0.875 0.875 0.875
0.000 0.500 0.500
0.500 0.000 0.500
0.500 0.500 0.000
0.500 0.500 0.500
0.185 0.185 0.565
0.185 0.565 0.185
0.185 0.565 0.565
0.435 0.435 0.815
0.435 0.815 0.435
0.435 0.815 0.815
0.565 0.185 0.185
0.565 0.185 0.565
0.565 0.565 0.185
0.815 0.435 0.435
0.815 0.435 0.815
0.815 0.815 0.435

(4)
PBE CsPu6O12, relaxed; space group = R-3m, No. 166; uncorrected formation energy = -2.706 eV per atom; E = -197.76 eV/cell; total magnetization = 25.0 Bohr magnetons per cell
1.0
5.405 3.121 2.818
-5.405 3.121 2.818
0.000 -6.241 2.818
Cs Pu O
1 6 12
direct
0.000 0.000 0.000
0.238 0.238 0.634
0.238 0.634 0.238
0.366 0.762 0.762
0.634 0.238 0.238
0.762 0.366 0.762
0.762 0.762 0.366
0.130 0.500 0.870
0.130 0.870 0.500
0.192 0.452 0.452
0.452 0.192 0.452
0.452 0.452 0.192
0.500 0.130 0.870
0.500 0.870 0.130
0.548 0.548 0.808
0.548 0.808 0.548
0.808 0.548 0.548
0.870 0.130 0.500
0.870 0.500 0.130

(5)
PBE Cs3Pu2O9, relaxed; space group = P6_3/mmc, No. 194; uncorrected formation energy = -2.019 eV per atom; E = -208.23 eV/cell; total magnetization = 1.9 Bohr magnetons per cell
1.0
6.756 0.000 0.000
-3.378 5.851 0.000
0.000 0.000 16.799
Cs Pu O
6 4 18
direct
0.000 0.000 0.250
0.000 0.000 0.750
0.333 0.667 0.077
0.333 0.667 0.423
0.667 0.333 0.577
0.667 0.333 0.923
0.333 0.667 0.664
0.333 0.667 0.836
0.667 0.333 0.164
0.667 0.333 0.336
0.064 0.532 0.750
0.198 0.397 0.601
0.198 0.397 0.899
0.198 0.802 0.601
0.198 0.802 0.899
0.397 0.198 0.101
0.397 0.198 0.399
0.468 0.532 0.750
0.468 0.936 0.750
0.532 0.064 0.250
0.532 0.468 0.250
0.603 0.802 0.601
0.603 0.802 0.899
0.802 0.198 0.101
0.802 0.198 0.399
0.802 0.603 0.101
0.802 0.603 0.399
0.936 0.468 0.250

(6)
PBE Cs2PuO5, relaxed; space group = P4/mmm, No. 123; uncorrected formation energy = -2.046 eV per atom; E = -57.19 eV/cell; total magnetization = 0.0 Bohr magnetons per cell
1.0
6.831 0.000 0.000
0.000 6.831 0.000
0.000 0.000 4.313
Cs Pu O
2 1 5
direct
0.000 0.500 0.000
0.500 0.000 0.000
0.000 0.000 0.500
0.000 0.000 0.000
0.197 0.197 0.500
0.197 0.803 0.500
0.803 0.197 0.500
0.803 0.803 0.500